First-principles (PBEsol) data for a relaxed MnTeN2Cl crystal, as listed in Alexandria.

abc: 3.675 3.675 5.362
angles: 90.00 90.00 90.00
Fractional positions:
N1 0.000 0.500 0.000
N2 0.500 0.000 0.000
Te1 0.000 0.000 0.500
Mn1 0.000 0.000 0.000
Cl1 0.500 0.500 0.500

Computed properties:
M_tot = 0.00 μB/atom
uncorrected energy = -5.90 eV per atom
energy relative to the elements, uncorrected = 2.9 eV per formula unit

First-principles (PBEsol) data for a relaxed FeSiAgGe2 crystal, as listed in Alexandria.

abc: 4.319 4.501 4.501
angles: 90.00 90.00 90.00
Fractional positions:
Ge1 0.000 0.000 0.500
Ge2 0.000 0.500 0.000
Si1 0.500 0.000 0.000
Fe1 0.000 0.000 0.000
Ag1 0.500 0.500 0.500

Computed properties:
M_tot = 0.03 μB/atom
uncorrected energy = -5.28 eV per atom
energy relative to the elements, uncorrected = 1.5 eV per formula unit

First-principles (PBEsol) data for a relaxed La2AsO2 crystal, as listed in Alexandria.

abc: 3.941 3.941 7.236
angles: 105.80 105.80 90.00
Fractional positions:
As1 0.000 0.000 0.000
O1 0.250 0.750 0.500
O2 0.750 0.250 0.500
La1 0.344 0.344 0.687
La2 0.656 0.656 0.313

Computed properties:
M_tot = 0.00 μB/atom
uncorrected energy = -7.94 eV per atom
energy relative to the elements, uncorrected = -13.4 eV per formula unit